Entry 1:
The following is a GGA-PBEsol calculation of an optimized crystal structure of CsY2F, from Alexandria via LeMat-Bulk.

The calculation puts the uncorrected formation energy at 0.19 eV/atom. As for the magnetic moment: 0.00 μB/f.u. Its volume is 401.96 Å³ per cell.

The space group is Fm-3m (No. 225) and the conventional cell measures 7.380, 7.380 and 7.380 Å, with angles of 90.00, 90.00 and 90.00 degrees. The distinct sites, in fractional coordinates, are Cs at (0.000, 0.000, 0.000), Y at (0.250, 0.250, 0.250) and F at (0.000, 0.000, 0.500).



Entry 2:
The following is a GGA-PBEsol calculation of an optimized crystal structure of CsZn2F, from Alexandria via LeMat-Bulk.

The calculation puts the uncorrected formation energy at -0.29 eV/atom. As for the magnetic moment: 0.00 μB/f.u. Its volume is 460.78 Å³ per cell.

The space group is Fm-3m (No. 225) and the conventional cell measures 7.724, 7.724 and 7.724 Å, with angles of 90.00, 90.00 and 90.00 degrees. The distinct sites, in fractional coordinates, are Cs at (0.000, 0.000, 0.000), Zn at (0.250, 0.250, 0.250) and F at (0.000, 0.000, 0.500).



Entry 3:
The following is a GGA-PBEsol calculation of an optimized crystal structure of CsZn2F2, from Alexandria via LeMat-Bulk.

The calculation puts the uncorrected formation energy at -1.22 eV/atom. As for the magnetic moment: 0.00 μB/f.u. Its volume is 187.99 Å³ per cell.

The space group is I4/mmm (No. 139) and the conventional cell measures 4.525, 4.525 and 9.181 Å, with angles of 90.00, 90.00 and 90.00 degrees. The distinct sites, in fractional coordinates, are Cs at (0.000, 0.000, 0.000), Zn at (0.000, 0.000, 0.358) and F at (0.000, 0.500, 0.250).



Entry 4:
The following is a GGA-PBEsol calculation of an optimized crystal structure of Cs3ZrF, from Alexandria via LeMat-Bulk.

The calculation puts the uncorrected formation energy at -0.23 eV/atom. The calculation puts the offset from the most stable computed form at 0.0000 eV per atom. As for the magnetic moment: 4.01 μB/f.u. Its volume is 207.80 Å³ per cell.

The space group is Pm-3m (No. 221) and the conventional cell measures 5.923, 5.923 and 5.923 Å, with angles of 90.00, 90.00 and 90.00 degrees. The distinct sites, in fractional coordinates, are Cs at (0.000, 0.000, 0.500), Zr at (0.500, 0.500, 0.500) and F at (0.000, 0.000, 0.000).